No. 1
{"formula": "Ba6Ag5Bi", "functional": "PBE", "state": "relaxed", "lattice_angstrom": [[-3.132, 2.205, 4.468], [-5.978, 0.488, -8.308], [3.708, -9.012, 3.170]], "species": ["Ba", "Ba", "Ba", "Ba", "Ba", "Ba", "Ag", "Ag", "Ag", "Ag", "Ag", "Bi"], "frac_coords": [[0.251, 0.083, 0.419], [0.749, 0.581, 0.917], [0.753, 0.253, 0.253], [0.247, 0.747, 0.747], [0.251, 0.419, 0.083], [0.749, 0.917, 0.581], [0.500, 0.169, 0.831], [0.000, 0.332, 0.668], [0.500, 0.500, 0.500], [0.000, 0.668, 0.332], [0.500, 0.831, 0.169], [0.000, 0.000, 0.000]], "energy_ev_per_atom": -2.830, "vol_a3_per_atom": 36.3, "formation_enthalpy_0k_mev_per_atom": -357}

***

No. 2
{"formula": "Cs2PuVBr6", "functional": "PBE", "state": "relaxed", "lattice_angstrom": [[-5.661, 2.163, 5.160], [4.674, -2.224, 6.060], [4.364, 10.372, 0.440]], "species": ["Cs", "Cs", "Cs", "Cs", "Pu", "Pu", "V", "V", "Br", "Br", "Br", "Br", "Br", "Br", "Br", "Br", "Br", "Br", "Br", "Br"], "frac_coords": [[0.500, 0.750, 0.250], [0.000, 0.250, 0.750], [0.500, 0.750, 0.750], [0.000, 0.250, 0.250], [0.000, 0.750, 0.500], [0.500, 0.250, 0.000], [0.500, 0.250, 0.500], [0.000, 0.750, 0.000], [0.500, 0.250, 0.261], [0.500, 0.250, 0.739], [0.000, 0.750, 0.239], [0.000, 0.750, 0.761], [0.261, 0.011, 0.500], [0.739, 0.011, 0.500], [0.261, 0.488, 0.500], [0.739, 0.488, 0.500], [0.761, 0.512, 0.000], [0.239, 0.512, 0.000], [0.239, 0.989, 0.000], [0.761, 0.989, 0.000]], "energy_ev_per_atom": -4.901, "vol_a3_per_atom": 35.7, "e_form_raw_mev_per_atom": -1382}

***

No. 3
{"formula": "ReHg2Sb", "functional": "PBE", "state": "relaxed", "lattice_angstrom": [[-3.140, 0.123, -0.209], [0.209, -0.007, -3.142], [-0.362, -9.264, -0.005]], "species": ["Hg", "Hg", "Re", "Sb"], "frac_coords": [[0.000, 0.000, 0.015], [0.500, 0.500, 0.298], [0.000, 0.000, 0.503], [0.500, 0.500, 0.684]], "energy_ev_per_atom": -3.815, "vol_a3_per_atom": 23.0, "e_form_raw_mev_per_atom": 478}